[1]
Ce5GeSb3 | GGA-PBE | relaxed

The total energy is -110.05 eV/cell.

a b c (Å): 9.4452 9.4452 6.3958
angles (deg): 90.00 90.00 120.00
Last column: nearest neighbours and their distance in Å.
Space group P6_3/mcm (No. 193)
One atom of each set of equivalent atoms:
Ce 0.0000 0.2632 0.2500 (multiplicity 6)  2 Ge 2.96, 2 Sb 3.21
Ce 0.3333 0.6667 0.0000 (multiplicity 4)  2 Ce 3.20, 6 Sb 3.35
Ge 0.0000 0.0000 0.0000 (multiplicity 2)  6 Ce 2.96, 2 Ge 3.20
Sb 0.0000 0.3840 0.7500 (multiplicity 6)  9 Ce 3.21-3.40

[2]
Ce4GeSb3 | GGA-PBE | relaxed

For the polymorph energy (0 for the lowest one), the calculation gives 0.0 meV/atom.

a b c (Å): 6.2774 6.2774 6.2774
angles (deg): 90.00 90.00 90.00
Last column: nearest neighbours and their distance in Å.
Space group Pm-3m (No. 221)
One atom of each set of equivalent atoms:
Ce 0.0000 0.0000 0.0000 (multiplicity 1)  6 Sb 3.14
Ce 0.0000 0.5000 0.5000 (multiplicity 3)  2 Ge 3.14, 4 Sb 3.14
Ge 0.5000 0.5000 0.5000 (multiplicity 1)  6 Ce 3.14
Sb 0.0000 0.0000 0.5000 (multiplicity 3)  6 Ce 3.14

[3]
Ce7Ge2Sb2 | GGA-PBE | relaxed

The total energy is -126.02 eV/cell.

a b c (Å): 10.8683 8.2022 7.2762
angles (deg): 90.00 90.10 90.00
Last column: nearest neighbours and their distance in Å.
Space group C2/m (No. 12)
One atom of each set of equivalent atoms:
Ce 0.0000 0.0000 0.0000 (multiplicity 2)  2 Sb 3.21
Ce 0.0003 0.5000 0.3137 (multiplicity 4)  1 Ce 2.71
Ce 0.2498 0.2496 0.3159 (multiplicity 8)  1 Ce 2.68
Ge 0.0000 0.1577 0.5000 (multiplicity 4)  1 Ge 2.59
Sb 0.2049 0.5000 0.0002 (multiplicity 4)  7 Ce 3.12-3.21

[4]
CeGeSb2 | GGA-PBE | relaxed

For the polymorph energy (0 for the lowest one), the calculation gives 104.3 meV/atom.

a b c (Å): 4.0854 4.0854 6.1444
angles (deg): 90.00 90.00 90.00
Last column: nearest neighbours and their distance in Å.
Space group P4/mmm (No. 123)
One atom of each set of equivalent atoms:
Ce 0.0000 0.0000 0.0000 (multiplicity 1)  2 Ge 3.07, 8 Sb 3.30
Ge 0.0000 0.0000 0.5000 (multiplicity 1)  2 Ce 3.07, 8 Sb 3.25
Sb 0.5000 0.5000 0.2582 (multiplicity 2)  2 Sb 2.97-3.17, 4 Ge 3.25, 4 Ce 3.30

[5]
Ce2GeSb | GGA-PBE | relaxed

For the polymorph energy (0 for the lowest one), the calculation gives 0.0 meV/atom.

a b c (Å): 4.3513 4.3513 21.4756
angles (deg): 90.00 90.00 120.00
Last column: nearest neighbours and their distance in Å.
Space group R-3m (No. 166, hexagonal axes)
One atom of each set of equivalent atoms:
Ce 0.0000 0.0000 0.2441 (multiplicity 6)  3 Ge 3.01, 3 Sb 3.16
Ge 0.0000 0.0000 0.5000 (multiplicity 3)  6 Ce 3.01
Sb 0.0000 0.0000 0.0000 (multiplicity 3)  6 Ce 3.16

[6]
Ce2GeSb | GGA-PBE | relaxed

For the polymorph energy (0 for the lowest one), the calculation gives 164.0 meV/atom.

a b c (Å): 4.2821 4.2821 22.6442
angles (deg): 90.00 90.00 120.00
Last column: nearest neighbours and their distance in Å.
Space group R3m (No. 160, hexagonal axes)
One atom of each set of equivalent atoms:
Ce 0.0000 0.0000 0.0000 (multiplicity 3)  3 Ge 3.08, 3 Sb 3.18
Ce 0.0000 0.0000 0.1587 (multiplicity 3)  3 Ge 3.03, 3 Sb 3.15
Ge 0.0000 0.0000 0.7479 (multiplicity 3)  6 Ce 3.03-3.08
Sb 0.0000 0.0000 0.5780 (multiplicity 3)  6 Ce 3.15-3.18

[7]
CeGeSb2 | GGA-PBE | relaxed

For the polymorph energy (0 for the lowest one), the calculation gives 755.0 meV/atom.

a b c (Å): 3.6904 3.6904 29.9355
angles (deg): 90.00 90.00 120.00
Last column: nearest neighbours and their distance in Å.
Space group R-3m (No. 166, hexagonal axes)
One atom of each set of equivalent atoms:
Ce 0.0000 0.0000 0.0000 (multiplicity 3)  2 Sb 3.13
Ge 0.0000 0.0000 0.5000 (multiplicity 3)  6 Sb 2.83
Sb 0.0000 0.0000 0.1047 (multiplicity 6)  3 Ge 2.83, 1 Ce 3.13

[8]
Ce8Ge3Sb4 | GGA-PBE | relaxed

The total energy is -177.66 eV/cell.

a b c (Å): 12.3280 12.3423 8.7243
angles (deg): 90.00 134.92 90.00
Last column: nearest neighbours and their distance in Å.
Space group C2/m (No. 12)
One atom of each set of equivalent atoms:
Ce 0.0000 0.2444 0.0000 (multiplicity 4)  3 Ge 3.02-3.09, 3 Sb 3.08-3.15
Ce 0.0000 0.2526 0.5000 (multiplicity 4)  2 Ge 3.08, 3 Sb 3.09-3.12
Ce 0.2447 0.0000 0.0037 (multiplicity 4)  1 Ge 2.99, 4 Sb 3.09-3.17
Ce 0.2466 0.0000 0.4865 (multiplicity 4)  3 Ge 3.01-3.09, 2 Sb 3.12-3.17
Ge 0.0000 0.0000 0.0000 (multiplicity 2)  6 Ce 2.99-3.02
Ge 0.2500 0.2500 0.5000 (multiplicity 4)  6 Ce 3.08-3.09
Sb 0.0000 0.0000 0.5000 (multiplicity 2)  6 Ce 3.11-3.12
Sb 0.0000 0.5000 0.0000 (multiplicity 2)  6 Ce 3.15-3.17
Sb 0.2500 0.2500 0.0000 (multiplicity 4)  6 Ce 3.08-3.09

[9]
Ce8Ge4Sb3 | GGA-PBE | relaxed

The total energy is -177.34 eV/cell.

a b c (Å): 12.2889 12.3080 8.6678
angles (deg): 90.00 134.69 90.00
Last column: nearest neighbours and their distance in Å.
Space group C2/m (No. 12)
One atom of each set of equivalent atoms:
Ce 0.0000 0.2427 0.0000 (multiplicity 4)  3 Ge 2.99-3.07, 2 Sb 3.08
Ce 0.0000 0.2445 0.5000 (multiplicity 4)  3 Ge 3.01-3.08, 3 Sb 3.07-3.14
Ce 0.2345 0.0000 0.4829 (multiplicity 4)  2 Ge 2.98-2.99, 3 Sb 3.08-3.16
Ce 0.2372 0.0000 0.9866 (multiplicity 4)  4 Ge 3.00-3.08, 1 Sb 3.16
Ge 0.0000 0.0000 0.0000 (multiplicity 2)  6 Ce 2.98-3.00
Ge 0.0000 0.0000 0.5000 (multiplicity 2)  6 Ce 2.99-3.01
Ge 0.2500 0.2500 0.0000 (multiplicity 4)  6 Ce 3.07-3.08
Sb 0.0000 0.5000 0.5000 (multiplicity 2)  6 Ce 3.14-3.16
Sb 0.2500 0.2500 0.5000 (multiplicity 4)  6 Ce 3.07-3.08

[10]
CeGeSb2 | GGA-PBE | relaxed

For the polymorph energy (0 for the lowest one), the calculation gives 0.0 meV/atom.

a b c (Å): 4.6123 4.6123 4.6151
angles (deg): 90.00 90.00 90.00
Last column: nearest neighbours and their distance in Å.
Space group P4/mmm (No. 123)
One atom of each set of equivalent atoms:
Ce 0.0000 0.0000 0.0000 (multiplicity 1)  4 Ge 3.26, 8 Sb 3.26
Ge 0.5000 0.5000 0.0000 (multiplicity 1)  4 Ce 3.26, 8 Sb 3.26
Sb 0.0000 0.5000 0.5000 (multiplicity 2)  4 Sb 3.26, 4 Ge 3.26, 4 Ce 3.26

[11]
Ce6Ge3Sb | GGA-PBE | relaxed

The total energy is -236.32 eV/cell.

a b c (Å): 9.4127 14.7128 7.8879
angles (deg): 90.00 90.00 90.00
Last column: nearest neighbours and their distance in Å.
Space group Cmc2_1 (No. 36)
One atom of each set of equivalent atoms:
Ce 0.0000 0.0108 0.0000 (multiplicity 4)  2 Ce 2.96, 4 Ge 2.99-3.05, 2 Sb 3.14-3.27
Ce 0.0000 0.2883 0.9164 (multiplicity 4)  4 Ce 3.05-3.20, 3 Ge 3.16-3.20, 1 Sb 3.22
Ce 0.2096 0.2874 0.5144 (multiplicity 8)  3 Ge 2.96-2.99, 1 Ce 3.05, 1 Sb 3.28
Ce 0.2108 0.4584 0.8882 (multiplicity 8)  2 Ce 2.96-3.20, 4 Ge 3.00-3.23
Ge 0.0000 0.4303 0.6086 (multiplicity 4)  7 Ce 2.98-3.20
Ge 0.1447 0.1238 0.7262 (multiplicity 8)  1 Ge 2.72, 4 Ce 2.96-3.05
Sb 0.0000 0.1714 0.2622 (multiplicity 4)  9 Ce 3.14-3.47